Entry 1:
The following is a PBE-GGA calculation of KAgGe after structural relaxation, from the Alexandria database.

abc: 5.2281 4.4530 4.4530
angles: 120.00 90.00 90.00
Closest atoms and distances in Å follow each position.
Positions (direct):
K 0.6667 0.3333 0.6667  6 Ge 3.67, 6 Ag 3.67
Ge 0.1666 0.6667 0.3333  3 Ag 2.57
Ag 0.1667 0.0000 0.0000  3 Ge 2.57

Properties
* polymorph energy (0 for the lowest one): 55 kJ/mol of formula units
* calculated volume: 29.9 A^3/atom



Entry 2:
The following is a PBE-GGA calculation of PmPu2ScBi4 after structural relaxation, from the Alexandria database.

abc: 4.4860 7.7698 7.7738
angles: 109.47 90.00 90.00
Closest atoms and distances in Å follow each position.
Positions (direct):
Pm 0.0000 0.0000 0.0000  6 Bi 3.19-3.20
Sc 0.5000 0.5000 0.0000  6 Bi 3.10
Bi 0.0000 0.7365 0.2400  2 Sc 3.10, 3 Pu 3.15-3.25, 1 Pm 3.20
Bi 0.5000 0.7407 0.7527  1 Sc 3.10, 3 Pu 3.15-3.25, 2 Pm 3.19
Bi 0.5000 0.2593 0.2473  1 Sc 3.10, 3 Pu 3.15-3.25, 2 Pm 3.19
Bi 0.0000 0.2635 0.7600  2 Sc 3.10, 3 Pu 3.15-3.25, 1 Pm 3.20
Pu 0.5000 0.0000 0.5000  6 Bi 3.25
Pu 0.0000 0.5000 0.5000  6 Bi 3.15

Properties
* calculated volume: 31.9 A^3/atom



Entry 3:
The following is a PBE-GGA calculation of Mn3CrFe after structural relaxation, from the Alexandria database.

abc: 4.0763 4.0763 4.0763
angles: 90.00 90.00 90.00
Closest atoms and distances in Å follow each position.
Positions (direct):
Mn 0.0000 0.5000 0.0000  2 Fe 2.04
Cr 0.5000 0.5000 0.5000  12 Mn 2.88
Mn 0.0000 0.0000 0.5000  2 Fe 2.04
Fe 0.0000 0.0000 0.0000  6 Mn 2.04
Mn 0.5000 0.0000 0.0000  2 Fe 2.04

Properties
* polymorph energy (0 for the lowest one): 642 kJ/mol of formula units
* calculated volume: 13.5 A^3/atom



no.,total energy (eV/atom),magnetization (μB per cell)
1,-2.7676,0.00
2,-7.4538,10.29
3,-7.6722,0.00